The following is a PBE+U calculation of crystalline Mn2NiClF at its relaxed geometry, from Alexandria via LeMat-Bulk.

Values from the calculation:
- size of the total moment (μB/f.u.) = 11.671
- VASP energy (eV/f.u.) = -18.90
- Fermi-level density of states (states/eV/f.u.) = 1.796

Unit cell a=5.3967 b=5.3967 c=4.1082 alpha=90.00 beta=90.00 gamma=90.00
Last column: nearest neighbours and their distance in Å.
Space group P4/mmm (No. 123)
Inequivalent atoms, fractional coordinates:
Mn 0.0000 0.5000 0.0000 [2 per cell]  2 Cl 2.70
Ni 0.0000 0.0000 0.5000 [1 per cell]  2 Cl 2.05
Cl 0.0000 0.0000 0.0000 [1 per cell]  2 Ni 2.05
F 0.5000 0.5000 0.5000 [1 per cell]  8 Mn 3.39